A plane-wave DFT calculation with PBE-GGA was carried out for crystalline Y3LuCl at its relaxed geometry.

The calculation puts the total energy at -27.94 eV/f.u. The value obtained for the formation energy (no corrections) is -0.4365 eV/atom. Its theoretical density is 5.42 g/cm3.

abc: 5.268 5.268 5.268
angles: 90.00 90.00 90.00
Space group Pm-3m (No. 221)
Inequivalent atoms, fractional coordinates:
Y: 0.000 0.000 0.500
Lu: 0.500 0.500 0.500
Cl: 0.000 0.000 0.000

=====

A plane-wave DFT calculation with PBE-GGA was carried out for crystalline Y2LuCl at its relaxed geometry.

The calculation puts the total energy at -21.90 eV/f.u. The value obtained for the formation energy (no corrections) is -0.6503 eV/atom. Its theoretical density is 5.82 g/cm3.

abc: 3.6007 3.6007 29.5825
angles: 90.00 90.00 120.00
Space group R-3m (No. 166, hexagonal axes)
Inequivalent atoms, fractional coordinates:
Y: 0.0000 0.0000 0.2401
Lu: 0.0000 0.0000 0.0000
Cl: 0.0000 0.0000 0.5000

=====

A plane-wave DFT calculation with PBE-GGA was carried out for crystalline Mg2Cl at its relaxed geometry.

The calculation puts the excess energy over the best structure of this formula in the dataset at 269 meV/atom. The calculation puts the total energy at -6.22 eV/f.u. The value obtained for the formation energy (no corrections) is -0.3935 eV/atom. Its theoretical density is 1.47 g/cm3.

abc: 6.4331 6.4331 10.5991
angles: 90.00 90.00 120.00
Space group P6_3/mmc (No. 194)
Inequivalent atoms, fractional coordinates:
Mg: 0.0000 0.0000 0.0000
Mg: 0.1556 0.3112 0.2500
Cl: 0.3333 0.6667 0.0967

=====

A plane-wave DFT calculation with PBE-GGA was carried out for crystalline Mg3Cl at its relaxed geometry.

The calculation puts the excess energy over the best structure of this formula in the dataset at 413 meV/atom. The calculation puts the total energy at -6.78 eV/f.u. The value obtained for the formation energy (no corrections) is -0.0378 eV/atom. Its theoretical density is 1.73 g/cm3.

abc: 7.471 7.471 7.471
angles: 90.00 90.00 90.00
Space group Fm-3m (No. 225)
Inequivalent atoms, fractional coordinates:
Mg: 0.000 0.000 0.000
Mg: 0.250 0.250 0.250
Cl: 0.000 0.000 0.500

=====

A plane-wave DFT calculation with PBE-GGA was carried out for crystalline MgCl at its relaxed geometry.

The calculation puts the total energy at -4.07 eV/f.u. The value obtained for the formation energy (no corrections) is -0.3159 eV/atom. Its theoretical density is 2.05 g/cm3.

abc: 7.287 7.287 7.287
angles: 90.00 90.00 90.00
Space group Fd-3m (No. 227, origin choice 2)
Inequivalent atoms, fractional coordinates:
Mg: 0.125 0.125 0.125
Cl: 0.125 0.125 0.625

=====

A plane-wave DFT calculation with PBE-GGA was carried out for crystalline MgCl3 at its relaxed geometry.

The calculation puts the total energy at -11.92 eV/f.u. The value obtained for the formation energy (no corrections) is -1.1958 eV/atom. Its theoretical density is 1.63 g/cm3.

abc: 6.567 19.591 4.131
angles: 90.00 90.00 90.00
Space group Cmcm (No. 63)
Inequivalent atoms, fractional coordinates:
Mg: 0.000 0.225 0.250
Cl: 0.000 0.017 0.250
Cl: 0.237 0.183 0.750